Density functional theory data (PBE) for a relaxed structure of PuZrHg2.

Unit cell a=4.392 b=4.649 c=4.649 alpha=90.00 beta=90.00 gamma=90.00
Sites, in units of the cell vectors:
Hg: 0.000 0.000 0.500
Hg: 0.000 0.500 0.000
Zr: 0.500 0.000 0.000
Pu: 0.500 0.500 0.500

Relative energy among the computed polymorphs in meV/atom: 96
ΔE_f in eV per atom: -0.039
Fermi-level density of states in states/eV per cell: 11.4
Total magnetic moment in μB per formula unit: 6.355
Total DFT energy (no corrections) in eV/cell: -23.64
Space group: P4/mmm (123)